Record 1
Density functional theory data (PBE) for crystalline KGa2BiPt at its relaxed geometry.

Structure (POSCAR):
```
KGa2BiPt
1.0
4.8860 0.0000 0.0000
0.0000 4.8860 0.0000
0.0000 0.0000 5.9784
K Ga Bi Pt
1 2 1 1
Direct
0.0000 0.0000 0.0000 K
0.0000 0.5000 0.5000 Ga
0.5000 0.0000 0.5000 Ga
0.5000 0.5000 0.0000 Bi
0.0000 0.0000 0.5000 Pt
```

Calculated values
ΔE_f = -0.07 eV per atom
space group = P4/mmm
DOS at the Fermi energy = 3.6 states/eV/cell

---

Record 2
Density functional theory data (PBE) for crystalline Nd2SmHo6Er at its relaxed geometry.

Structure (POSCAR):
```
Nd2SmHo6Er
1.0
4.5106 -7.5093 0.0000
4.5106 7.5093 0.0000
-1.4917 0.0000 9.5683
Nd Sm Ho Er
4 2 12 2
Direct
0.1946 0.2970 0.0428 Nd
0.2970 0.1946 0.5428 Nd
0.7030 0.8054 0.4572 Nd
0.8054 0.7030 0.9572 Nd
0.0181 0.9819 0.2500 Sm
0.9819 0.0181 0.7500 Sm
0.0204 0.5732 0.1867 Ho
0.1238 0.7419 0.5573 Ho
0.2581 0.8762 0.9427 Ho
0.2942 0.5065 0.3810 Ho
0.4268 0.9796 0.3133 Ho
0.4935 0.7058 0.1190 Ho
0.5065 0.2942 0.8810 Ho
0.5732 0.0204 0.6867 Ho
0.7058 0.4935 0.6190 Ho
0.7419 0.1238 0.0573 Ho
0.8762 0.2581 0.4427 Ho
0.9796 0.4268 0.8133 Ho
0.4072 0.5928 0.7500 Er
0.5928 0.4072 0.2500 Er
```

Calculated values
ΔE_f = 0.12 eV per atom
space group = C2/c
DOS at the Fermi energy = 27.4 states/eV/cell

---

Record 3
Density functional theory data (PBE) for crystalline K2NpSbSe5 at its relaxed geometry.

Structure (POSCAR):
```
K2NpSbSe5
1.0
2.1764 -9.1062 0.0000
2.1764 9.1062 0.0000
0.0000 0.0000 14.9671
K Np Sb Se
4 2 2 10
Direct
0.0988 0.9012 0.5000 K
0.1423 0.8577 0.1434 K
0.8577 0.1423 0.6434 K
0.9012 0.0988 0.0000 K
0.2145 0.7855 0.8663 Np
0.7855 0.2145 0.3663 Np
0.4619 0.5381 0.2704 Sb
0.5381 0.4619 0.7704 Sb
0.0655 0.9345 0.8942 Se
0.2783 0.7217 0.4838 Se
0.3147 0.6853 0.2424 Se
0.3556 0.6444 0.8268 Se
0.4949 0.5051 0.6093 Se
0.5051 0.4949 0.1093 Se
0.6444 0.3556 0.3268 Se
0.6853 0.3147 0.7424 Se
0.7217 0.2783 0.9838 Se
0.9345 0.0655 0.3942 Se
```

Calculated values
ΔE_f (raw) = -7.62 eV per formula unit
space group = Cmc2_1
DOS at the Fermi energy = 12.6 states/eV/cell

---

Record 4
Density functional theory data (PBE) for crystalline TaSnI2O at its relaxed geometry.

Structure (POSCAR):
```
TaSnI2O
1.0
6.0610 0.0000 0.0000
0.0000 6.0610 0.0000
0.0000 0.0000 3.9409
Ta Sn I O
1 1 2 1
Direct
0.0000 0.0000 0.0000 Ta
0.5000 0.5000 0.5000 Sn
0.0000 0.5000 0.5000 I
0.5000 0.0000 0.5000 I
0.5000 0.5000 0.0000 O
```

Calculated values
ΔE_f (raw) = 3.14 eV per formula unit
space group = P4/mmm
DOS at the Fermi energy = 3.3 states/eV/cell

---

Record 5
Density functional theory data (PBE) for crystalline BaSClO4 at its relaxed geometry.

Structure (POSCAR):
```
BaSClO4
1.0
6.2562 -3.0527 0.0000
6.2562 3.0527 0.0000
-1.5367 0.0000 6.7138
Ba S Cl O
2 2 2 8
Direct
0.1735 0.1735 0.2405 Ba
0.8265 0.8265 0.7595 Ba
0.1551 0.1551 0.7324 S
0.8449 0.8449 0.2676 S
0.5004 0.5004 0.1450 Cl
0.4996 0.4996 0.8550 Cl
0.0423 0.6453 0.3952 O
0.0570 0.0570 0.8218 O
0.2553 0.2553 0.8980 O
0.3547 0.9577 0.6048 O
0.6453 0.0423 0.3952 O
0.7447 0.7447 0.1020 O
0.9430 0.9430 0.1782 O
0.9577 0.3547 0.6048 O
```

Calculated values
ΔE_f (raw) = -12.91 eV per formula unit
space group = C2/m
DOS at the Fermi energy = 0.0 states/eV/cell

---

Record 6
Density functional theory data (PBE) for crystalline HfReRu at its relaxed geometry.

Structure (POSCAR):
```
HfReRu
1.0
4.6794 0.0000 0.0000
-2.3397 4.0525 0.0000
0.0000 0.0000 5.2311
Hf Re Ru
2 2 2
Direct
0.3333 0.6667 0.2500 Hf
0.6667 0.3333 0.7500 Hf
0.0000 0.0000 0.0000 Re
0.0000 0.0000 0.5000 Re
0.3333 0.6667 0.7500 Ru
0.6667 0.3333 0.2500 Ru
```

Calculated values
ΔE_f = -0.07 eV per atom
space group = P6_3/mmc
DOS at the Fermi energy = 6.3 states/eV/cell

---

Record 7
Density functional theory data (PBE) for crystalline BeIn at its relaxed geometry.

Structure (POSCAR):
```
BeIn
1.0
3.8818 0.0000 0.0000
0.0000 3.9161 0.0000
-1.8402 0.0000 4.4456
Be In
2 2
Direct
0.0602 0.2500 0.1215 Be
0.9398 0.7500 0.8785 Be
0.3589 0.2500 0.7093 In
0.6411 0.7500 0.2907 In
```

Calculated values
ΔE_f = 0.33 eV per atom
space group = P2_1/m
DOS at the Fermi energy = 1.0 states/eV/cell

---

Record 8
Density functional theory data (PBE) for crystalline Sr4C5 at its relaxed geometry.

Structure (POSCAR):
```
Sr4C5
1.0
-5.3544 5.3544 1.4147
5.3544 -5.3544 1.4147
5.3544 5.3544 -1.4147
Sr C
4 5
Direct
0.0000 0.2338 0.2338 Sr
0.0000 0.7662 0.7662 Sr
0.2338 0.0000 0.2338 Sr
0.7662 0.0000 0.7662 Sr
0.0000 0.0000 0.0000 C
0.2702 0.2702 0.5405 C
0.2702 0.7298 0.0000 C
0.7298 0.2702 0.0000 C
0.7298 0.7298 0.4595 C
```

Calculated values
ΔE_f = 0.86 eV per atom
space group = I4/mmm
DOS at the Fermi energy = 4.9 states/eV/cell

---

Record 9
Density functional theory data (PBE) for crystalline Cr2PbW at its relaxed geometry.

Structure (POSCAR):
```
Cr2PbW
1.0
0.0000 3.2084 3.2084
3.2084 0.0000 3.2084
3.2084 3.2084 0.0000
Cr Pb W
2 1 1
Direct
0.0000 0.0000 0.0000 Cr
0.2500 0.2500 0.2500 Cr
0.5000 0.5000 0.5000 Pb
0.7500 0.7500 0.7500 W
```

Calculated values
ΔE_f = 0.91 eV per atom
space group = F-43m
DOS at the Fermi energy = 5.3 states/eV/cell

---

Record 10
Density functional theory data (PBE) for crystalline ScIr2Au at its relaxed geometry.

Structure (POSCAR):
```
ScIr2Au
1.0
4.7212 -1.4628 0.0000
4.7212 1.4628 0.0000
-1.0144 0.0000 4.7470
Sc Ir Au
1 2 1
Direct
0.0000 0.0000 0.0000 Sc
0.2588 0.2588 0.7522 Ir
0.7412 0.7412 0.2478 Ir
0.5000 0.5000 0.5000 Au
```

Calculated values
ΔE_f = -0.34 eV per atom
space group = C2/m
DOS at the Fermi energy = 2.3 states/eV/cell

---

Record 11
Density functional theory data (PBE) for crystalline ScRu3 at its relaxed geometry.

Structure (POSCAR):
```
ScRu3
1.0
4.9984 0.0000 0.0000
0.0000 4.9984 0.0000
0.0000 0.0000 4.9984
Sc Ru
2 6
Direct
0.0000 0.0000 0.0000 Sc
0.5000 0.5000 0.5000 Sc
0.0000 0.2500 0.5000 Ru
0.0000 0.7500 0.5000 Ru
0.2500 0.5000 0.0000 Ru
0.5000 0.0000 0.2500 Ru
0.5000 0.0000 0.7500 Ru
0.7500 0.5000 0.0000 Ru
```

Calculated values
ΔE_f = 0.15 eV per atom
space group = Pm-3n
DOS at the Fermi energy = 13.1 states/eV/cell

---

Record 12
Density functional theory data (PBE) for crystalline TbHPt at its relaxed geometry.

Structure (POSCAR):
```
TbHPt
1.0
-1.4848 2.5425 7.6772
1.4848 -2.5425 7.6772
1.4848 2.5425 -7.6772
Tb H Pt
2 2 2
Direct
0.1568 0.1568 0.0000 Tb
0.8432 0.8432 0.0000 Tb
0.3056 0.3056 0.0000 H
0.6944 0.6944 0.0000 H
0.2564 0.0000 0.2564 Pt
0.7436 0.0000 0.7436 Pt
```

Calculated values
space group = Immm
DOS at the Fermi energy = 2.8 states/eV/cell
total energy = -0.1694 Ha/atom

---

Record 13
Density functional theory data (PBE) for crystalline CeS2 at its relaxed geometry.

Structure (POSCAR):
```
CeS2
1.0
3.3528 -4.9043 0.0000
3.3528 4.9043 0.0000
0.0000 0.0000 4.5241
Ce S
2 4
Direct
0.1699 0.8301 0.7500 Ce
0.8301 0.1699 0.2500 Ce
0.1140 0.3557 0.7500 S
0.3557 0.1140 0.2500 S
0.6443 0.8860 0.7500 S
0.8860 0.6443 0.2500 S
```

Calculated values
ΔE_f (raw) = -4.96 eV per formula unit
space group = Cmcm

---

Record 14
Density functional theory data (PBE) for crystalline AcTb3DyTm at its relaxed geometry.

Structure (POSCAR):
```
AcTb3DyTm
1.0
11.5022 -2.6938 0.0000
11.5022 2.6938 0.0000
-1.0025 0.0000 6.9306
Ac Tb Dy Tm
2 6 2 2
Direct
0.1268 0.1268 0.4831 Ac
0.8732 0.8732 0.5169 Ac
0.0214 0.0214 0.7832 Tb
0.2746 0.2746 0.6924 Tb
0.3192 0.3192 0.2166 Tb
0.6808 0.6808 0.7834 Tb
0.7254 0.7254 0.3076 Tb
0.9786 0.9786 0.2168 Tb
0.4246 0.4246 0.8894 Dy
0.5754 0.5754 0.1106 Dy
0.1674 0.1674 0.0228 Tm
0.8326 0.8326 0.9772 Tm
```

Calculated values
ΔE_f = 0.22 eV per atom
space group = C2/m
DOS at the Fermi energy = 19.6 states/eV/cell

---

Record 15
Density functional theory data (PBE) for crystalline Ba2YTe at its relaxed geometry.

Structure (POSCAR):
```
Ba2YTe
1.0
-2.5679 2.5679 5.8176
2.5679 -2.5679 5.8176
2.5679 2.5679 -5.8176
Ba Y Te
2 1 1
Direct
0.2500 0.7500 0.5000 Ba
0.7500 0.2500 0.5000 Ba
0.0000 0.0000 0.0000 Y
0.5000 0.5000 0.0000 Te
```

Calculated values
ΔE_f (raw) = -1.19 eV per formula unit
space group = I4/mmm
DOS at the Fermi energy = 6.4 states/eV/cell

---

Record 16
Density functional theory data (PBE) for crystalline CaZrIn2 at its relaxed geometry.

Structure (POSCAR):
```
CaZrIn2
1.0
4.9046 -1.6676 0.0000
4.9046 1.6676 0.0000
-0.9109 0.0000 6.5584
Ca Zr In
1 1 2
Direct
0.0000 0.0000 0.0000 Ca
0.5000 0.5000 0.5000 Zr
0.2479 0.2479 0.7193 In
0.7521 0.7521 0.2807 In
```

Calculated values
ΔE_f = -0.14 eV per atom
space group = C2/m
DOS at the Fermi energy = 2.7 states/eV/cell

---

Record 17
Density functional theory data (PBE) for crystalline Tl2HgAu at its relaxed geometry.

Structure (POSCAR):
```
Tl2HgAu
1.0
4.1351 0.0000 0.0000
0.0000 4.4089 0.0000
-2.0359 0.0000 6.0006
Tl Hg Au
2 1 1
Direct
0.0000 0.0000 0.0000 Tl
0.2848 0.5000 0.6125 Tl
0.6999 0.0000 0.4502 Hg
0.5732 0.5000 0.1151 Au
```

Calculated values
ΔE_f = -0.01 eV per atom
space group = Pm
DOS at the Fermi energy = 1.5 states/eV/cell

---

Record 18
Density functional theory data (PBE) for crystalline PrNdEr5 at its relaxed geometry.

Structure (POSCAR):
```
PrNdEr5
1.0
5.8147 -3.4305 0.0000
5.8147 3.4305 0.0000
-3.8667 0.0000 11.4429
Pr Nd Er
2 2 10
Direct
0.0260 0.9740 0.7500 Pr
0.9740 0.0260 0.2500 Pr
0.0000 0.5000 0.0000 Nd
0.5000 0.0000 0.5000 Nd
0.1377 0.4194 0.7454 Er
0.2026 0.6408 0.5021 Er
0.3592 0.7974 0.9979 Er
0.4104 0.5896 0.2500 Er
0.4194 0.1377 0.2454 Er
0.5806 0.8623 0.7546 Er
0.5896 0.4104 0.7500 Er
0.6408 0.2026 0.0021 Er
0.7974 0.3592 0.4979 Er
0.8623 0.5806 0.2546 Er
```

Calculated values
ΔE_f = 0.20 eV per atom
space group = C2/c
DOS at the Fermi energy = 19.2 states/eV/cell

---

Record 19
Density functional theory data (PBE) for crystalline Tb5Pm4Nd3 at its relaxed geometry.

Structure (POSCAR):
```
Tb5Pm4Nd3
1.0
6.2713 0.0000 0.0000
-0.0132 7.2372 0.0000
-0.0185 -0.0030 8.8707
Tb Pm Nd
5 4 3
Direct
0.0000 0.0000 0.0000 Tb
0.3345 0.4999 0.3317 Tb
0.5003 0.2504 0.0001 Tb
0.4997 0.7496 0.9999 Tb
0.6655 0.5001 0.6683 Tb
0.1681 0.7495 0.6676 Pm
0.3324 0.0002 0.3313 Pm
0.6676 0.9998 0.6687 Pm
0.8319 0.2505 0.3324 Pm
0.0000 0.5000 0.0000 Nd
0.1675 0.2505 0.6674 Nd
0.8325 0.7495 0.3326 Nd
```

Calculated values
ΔE_f = 0.01 eV per atom
space group = P-1
DOS at the Fermi energy = 16.3 states/eV/cell

---

Record 20
Density functional theory data (PBE) for crystalline AsIr2Pb at its relaxed geometry.

Structure (POSCAR):
```
AsIr2Pb
1.0
3.9087 0.0000 0.0000
0.0000 3.9069 0.0000
-0.0224 0.0000 6.2911
As Ir Pb
1 2 1
Direct
0.0000 0.0000 0.0000 As
0.4986 0.0000 0.7657 Ir
0.9986 0.5000 0.7655 Ir
0.4967 0.5000 0.4377 Pb
```

Calculated values
ΔE_f = 0.08 eV per atom
space group = Pm
DOS at the Fermi energy = 3.0 states/eV/cell